No. 1
Material: Zr2MnIr
Method: DFT, SCAN
State: single point on PBEsol structure

Energy relative to the elements (meV per atom): -662
Energy (eV per atom): -38.3498
Space-group type: P4/mmm
Total magnetization (Bohr magnetons per cell): 0.0

a = 3.257 Å, b = 4.497 Å, c = 4.497 Å
α = 90.00°, β = 90.00°, γ = 90.00°
Element x y z (fractional)
1 Ir 0.500 0.500 0.500
2 Zr 0.000 0.000 0.500
3 Zr 0.000 0.500 0.000
4 Mn 0.500 0.000 0.000

No. 2
Material: BaTaBr2
Method: DFT, SCAN
State: single point on PBEsol structure

Formation energy from raw total energies (meV/atom): -38
Energy (eV per atom): -36.3012
Space-group type: Cmmm
Energy above the lowest structure with this stoichiometry (meV/atom): 117
Total magnetization (Bohr magnetons per cell): 0.4

a = 3.318 Å, b = 3.567 Å, c = 9.726 Å
α = 90.00°, β = 90.00°, γ = 117.72°
Each line ends with the local moment (μB).
Element x y z (fractional)
1 Br 0.000 0.000 0.286  0.01
2 Br 0.000 0.000 0.714  0.01
3 Ba 0.500 0.000 0.000  -0.19
4 Ta 0.500 0.000 0.500  0.54

No. 3
Material: TlCuRh2
Method: DFT, SCAN
State: single point on PBEsol structure

Energy relative to the elements (meV per atom): 234
Energy (eV per atom): -38.5410
Space-group type: Pmm2
Total magnetization (Bohr magnetons per cell): 0.0

a = 2.845 Å, b = 3.693 Å, c = 5.736 Å
α = 90.00°, β = 90.00°, γ = 90.00°
Element x y z (fractional)
1 Tl 0.000 0.000 0.504
2 Rh 0.000 0.000 0.991
3 Rh 0.500 0.500 0.227
4 Cu 0.500 0.500 0.779

no.,calculated volume (Å³ per atom),DOS at the Fermi energy (states/eV/f.u.)
1,16.47,1.38
2,25.48,2.02
3,15.06,3.47